[1]
## SrLi2Fe (PBE)

Data for SrLi2Fe after structural relaxation.

Computed properties:
Formation energy from the elements in meV per atom: 500
Symmetry: I4/mmm

Structure (extended XYZ):
```
4
Lattice="-2.200 2.200 4.698 2.200 -2.200 4.698 2.200 2.200 -4.698" Properties=species:S:1:pos:R:3 pbc="T T T"
Sr 0.000 0.000 0.000
Li 2.200 0.000 2.349
Li 0.000 2.200 2.349
Fe 0.000 0.000 4.698
```

---

[2]
## Tm3Cu8Hg (PBE)

Data for Tm3Cu8Hg after structural relaxation.

Computed properties:
Formation energy from the elements in meV per atom: -230
Symmetry: R3m

Structure (extended XYZ):
```
12
Lattice="2.571 1.484 8.445 -2.571 1.484 8.445 0.000 -2.969 8.445" Properties=species:S:1:pos:R:3 pbc="T T T"
Tm 0.000 0.000 0.000
Tm 0.000 0.000 3.226
Tm 0.000 0.000 15.574
Cu -1.295 -0.747 9.913
Cu 0.000 -1.513 5.739
Cu -1.310 0.756 5.739
Cu 0.000 0.000 7.808
Cu 1.295 -0.747 9.913
Cu 0.000 1.495 9.913
Cu 1.310 0.756 5.739
Cu 0.000 0.000 20.503
Hg 0.000 0.000 12.486
```

---

[3]
## LiPrNdNi (PBE)

Data for LiPrNdNi after structural relaxation.

Computed properties:
Formation energy from the elements in meV per atom: -31
Symmetry: F-43m

Structure (extended XYZ):
```
4
Lattice="0.000 3.612 3.612 3.612 0.000 3.612 3.612 3.612 0.000" Properties=species:S:1:pos:R:3 pbc="T T T"
Li 0.000 0.000 0.000
Pr 1.806 1.806 1.806
Nd 5.418 5.418 5.418
Ni 3.612 3.612 3.612
```

---

[4]
## Ga2HgPb8 (PBE)

Data for Ga2HgPb8 after structural relaxation.

Computed properties:
Formation energy from the elements in meV per atom: 69
Symmetry: C2/m

Structure (extended XYZ):
```
11
Lattice="4.460 -6.574 0.000 4.460 6.574 0.000 -1.768 0.000 5.610" Properties=species:S:1:pos:R:3 pbc="T T T"
Ga 4.460 4.246 0.000
Ga 4.460 -4.246 0.000
Hg 3.576 0.000 2.805
Pb 0.573 0.000 1.860
Pb 1.099 1.690 4.954
Pb 3.576 3.200 2.805
Pb 1.099 -1.690 4.954
Pb 6.053 1.690 0.656
Pb 3.576 -3.200 2.805
Pb 6.053 -1.690 0.656
Pb 6.579 0.000 3.750
```